{"formula": "Sc3CoW", "functional": "PBE", "state": "relaxed", "sg": "Pm-3m (221)", "formation_energy_ev_per_atom": 0.557, "crystal_system": "cubic", "cell": [[4.6774, 0.0000, 0.0000], [0.0000, 4.6774, 0.0000], [0.0000, 0.0000, 4.6774]], "species": ["Sc", "Sc", "Sc", "Co", "W"], "frac_coords": [[0.0000, 0.0000, 0.5000], [0.5000, 0.0000, 0.0000], [0.0000, 0.5000, 0.0000], [0.0000, 0.0000, 0.0000], [0.5000, 0.5000, 0.5000]]}

---

{"formula": "ScCoW2", "functional": "PBE", "state": "relaxed", "sg": "Cmmm (65)", "formation_energy_ev_per_atom": 0.210, "crystal_system": "orthorhombic", "cell": [[2.7493, 0.0589, 0.0000], [-0.3821, 2.7232, 0.0000], [0.0000, 0.0000, 8.3769]], "species": ["W", "W", "Sc", "Co"], "frac_coords": [[0.0000, 0.0000, 0.4653], [0.0000, 0.0000, 0.0347], [0.5000, 0.5000, 0.7500], [0.5000, 0.5000, 0.2500]]}

---

{"formula": "ScCoW2", "functional": "PBE", "state": "relaxed", "sg": "Pmmm (47)", "formation_energy_ev_per_atom": 0.134, "crystal_system": "orthorhombic", "cell": [[3.1490, 0.0000, 0.0000], [0.0000, 4.3037, 0.0000], [0.0000, 0.0000, 4.6615]], "species": ["Sc", "W", "W", "Co"], "frac_coords": [[0.0000, 0.5000, 0.5000], [0.0000, 0.0000, 0.0000], [0.5000, 0.5000, 0.0000], [0.5000, 0.0000, 0.5000]]}

---

{"formula": "ScCoW2", "functional": "PBE", "state": "relaxed", "sg": "P2/m (10)", "formation_energy_ev_per_atom": 0.233, "crystal_system": "monoclinic", "cell": [[4.6105, 0.0000, 0.0000], [0.0000, 2.7713, 0.0038], [0.0000, 0.9403, 4.9446]], "species": ["Co", "Sc", "W", "W"], "frac_coords": [[0.5000, 0.2500, 0.2500], [0.5000, 0.7500, 0.7500], [0.0000, 0.4746, 0.4980], [0.0000, 0.0254, 0.0020]]}

---

{"formula": "Sc2CoW", "functional": "PBE", "state": "relaxed", "sg": "Pm (6)", "formation_energy_ev_per_atom": 0.183, "crystal_system": "monoclinic", "cell": [[4.2746, 0.0000, 0.0000], [0.0000, 3.0165, 0.0126], [0.0000, 1.3900, 5.4304]], "species": ["Sc", "Sc", "W", "Co"], "frac_coords": [[0.5000, 0.2443, 0.2844], [0.0000, 0.9763, 0.9677], [0.0000, 0.5784, 0.5180], [0.5000, 0.7010, 0.7299]]}

---

{"formula": "Sc2CoW", "functional": "PBE", "state": "relaxed", "sg": "Cm (8)", "formation_energy_ev_per_atom": 0.066, "crystal_system": "monoclinic", "cell": [[5.5962, 0.0029, 0.0154], [4.7495, 2.9598, 0.0154], [1.9584, 0.5608, 4.2362]], "species": ["Sc", "Sc", "W", "Co"], "frac_coords": [[0.7599, 0.7599, 0.7396], [0.9706, 0.9706, 0.0323], [0.5337, 0.5337, 0.4700], [0.2358, 0.2358, 0.2581]]}

---

Please write out number 3 again, unchanged.
{"formula": "ScCoW2", "functional": "PBE", "state": "relaxed", "sg": "Pmmm (47)", "formation_energy_ev_per_atom": 0.134, "crystal_system": "orthorhombic", "cell": [[3.1490, 0.0000, 0.0000], [0.0000, 4.3037, 0.0000], [0.0000, 0.0000, 4.6615]], "species": ["Sc", "W", "W", "Co"], "frac_coords": [[0.0000, 0.5000, 0.5000], [0.0000, 0.0000, 0.0000], [0.5000, 0.5000, 0.0000], [0.5000, 0.0000, 0.5000]]}

---

Please write out number 5 again, unchanged.
{"formula": "Sc2CoW", "functional": "PBE", "state": "relaxed", "sg": "Pm (6)", "formation_energy_ev_per_atom": 0.183, "crystal_system": "monoclinic", "cell": [[4.2746, 0.0000, 0.0000], [0.0000, 3.0165, 0.0126], [0.0000, 1.3900, 5.4304]], "species": ["Sc", "Sc", "W", "Co"], "frac_coords": [[0.5000, 0.2443, 0.2844], [0.0000, 0.9763, 0.9677], [0.0000, 0.5784, 0.5180], [0.5000, 0.7010, 0.7299]]}